# HfBe2Ag

An optimized crystal structure of HfBe2Ag (GGA-PBE, Alexandria via LeMat-Bulk).

Values from the calculation:
M_tot in μB/atom: 0.00
E above lowest polymorph in eV per atom: 0.414
DFT formation energy in eV/atom: 0.52

Cell: 4.0779 4.0779 8.4423 Å, 76.02 76.02 90.00°
Closest atoms and distances in Å follow each position.
Atoms (fractional coordinates):
Be (0.3760, 0.1250, 0.2500)  2 Be 2.04, 2 Ag 2.23
Be (0.3740, 0.6250, 0.2500)  2 Be 2.04, 2 Ag 2.23
Be (0.3750, 0.6240, 0.7500)  2 Be 2.04, 2 Ag 2.23
Be (0.8750, 0.6260, 0.7500)  2 Be 2.04, 2 Ag 2.23
Hf (0.0000, 0.0000, 0.0000)  4 Ag 2.88, 8 Be 3.02
Hf (0.7500, 0.2500, 0.5000)  4 Ag 2.88, 8 Be 3.02
Ag (0.5000, 0.5000, 0.0000)  4 Be 2.23
Ag (0.2500, 0.7500, 0.5000)  4 Be 2.23